Record 1
# B7C5 PBE relaxed
data_B7C5
_space_group_name_H-M_alt 'P m m 2'
_space_group_IT_number 25
_space_group_name_Hall 'P 2 -2'
_cell_length_a 2.570
_cell_length_b 7.855
_cell_length_c 4.149
_cell_angle_alpha 90.00
_cell_angle_beta 90.00
_cell_angle_gamma 90.00
loop_
_atom_site_label
_atom_site_type_symbol
_atom_site_fract_x
_atom_site_fract_y
_atom_site_fract_z
B1 B 0.000 0.000 0.000
B2 B 0.000 0.158 0.689
B3 B 0.000 0.354 0.956
B4 B 0.500 0.174 0.385
C1 C 0.000 0.500 0.654
C2 C 0.500 0.000 0.202
C3 C 0.500 0.347 0.202
C4 C 0.500 0.500 0.439
# Energy above the lowest structure with this stoichiometry: 315 meV/atom
# Total magnetization: 0.00 μB/f.u.
# E_form: 479 meV per atom
# Energy: -7.26 eV per atom

Record 2
# B3C2 PBE relaxed
data_B3C2
_space_group_name_H-M_alt 'R 3 m'
_space_group_IT_number 160
_space_group_name_Hall 'R 3 -2"'
_cell_length_a 2.7032
_cell_length_b 2.7032
_cell_length_c 33.7939
_cell_angle_alpha 90.00
_cell_angle_beta 90.00
_cell_angle_gamma 120.00
loop_
_atom_site_label
_atom_site_type_symbol
_atom_site_fract_x
_atom_site_fract_y
_atom_site_fract_z
B1 B 0.0000 0.0000 0.0000
B2 B 0.0000 0.0000 0.0501
B3 B 0.0000 0.0000 0.4123
B4 B 0.0000 0.0000 0.5978
B5 B 0.0000 0.0000 0.6610
B6 B 0.0000 0.0000 0.8549
C1 C 0.0000 0.0000 0.2087
C2 C 0.0000 0.0000 0.2523
C3 C 0.0000 0.0000 0.4590
C4 C 0.0000 0.0000 0.8073
# Energy above the lowest structure with this stoichiometry: 384 meV/atom
# Total magnetization: 0.00 μB/f.u.
# E_form: 595 meV per atom
# Energy: -7.10 eV per atom